The following is a DFT calculation (PBE with a Hubbard U) of TbVF5 after structural relaxation.

Summary:
N(E_F)   0.00 states/eV/f.u.
Electronic total energy   -6.551 eV per atom
Symmetry   C2/c
M_tot   0.429 μB per atom

Lattice parameters (Å, degrees): 5.7495 5.7495 7.7262 70.59 70.59 72.59
With the nearest neighbours (Å) after each atom.
Element x y z (fractional)
F: 0.6776 0.3077 0.9642  1 V 2.17, 2 Tb 2.28-2.42
F: 0.2701 0.2212 0.3729  1 V 2.08, 1 Tb 2.15
F: 0.7299 0.7788 0.6271  1 V 2.08, 1 Tb 2.15
F: 0.1180 0.8820 0.7500  2 V 2.09, 1 Tb 2.26
F: 0.3077 0.6776 0.4642  1 V 2.17, 2 Tb 2.28-2.42
F: 0.7788 0.7299 0.1271  1 V 2.08, 1 Tb 2.15
F: 0.8820 0.1180 0.2500  2 V 2.09, 1 Tb 2.26
F: 0.3224 0.6923 0.0358  1 V 2.17, 2 Tb 2.28-2.42
F: 0.6923 0.3224 0.5358  1 V 2.17, 2 Tb 2.28-2.42
F: 0.2212 0.2701 0.8729  1 V 2.08, 1 Tb 2.15
V: 0.0000 0.0000 0.5000  6 F 2.08-2.17
V: 0.0000 0.0000 0.0000  6 F 2.08-2.17
Tb: 0.5496 0.4504 0.2500  5 F 2.15-2.28
Tb: 0.4504 0.5496 0.7500  5 F 2.15-2.28